Entry 1:
This record from the Alexandria database describes a geometry-optimized CePuTlRu structure. The functional is GGA-PBE.

Total DFT energy (no corrections) (eV/atom): -8.186
Space-group type: P4mm

a b c (Å): 3.3198 3.3198 8.6870
angles (deg): 90.00 90.00 90.00
Atoms (fractional coordinates):
Ce 0.0000 0.0000 0.0000
Pu 0.0000 0.0000 0.5940
Tl 0.5000 0.5000 0.3013
Ru 0.5000 0.5000 0.7979



Entry 2:
This record from the Alexandria database describes a geometry-optimized CeTmPuRu structure. The functional is GGA-PBE.

Total DFT energy (no corrections) (eV/atom): -8.470
Space-group type: F-43m

a b c (Å): 7.1084 7.1084 7.1084
angles (deg): 90.00 90.00 90.00
Atoms (fractional coordinates):
Ce 0.0000 0.0000 0.0000
Ce 0.0000 0.5000 0.5000
Ce 0.5000 0.0000 0.5000
Ce 0.5000 0.5000 0.0000
Tm 0.0000 0.0000 0.5000
Tm 0.0000 0.5000 0.0000
Tm 0.5000 0.0000 0.0000
Tm 0.5000 0.5000 0.5000
Pu 0.2500 0.2500 0.2500
Pu 0.2500 0.7500 0.7500
Pu 0.7500 0.2500 0.7500
Pu 0.7500 0.7500 0.2500
Ru 0.2500 0.2500 0.7500
Ru 0.2500 0.7500 0.2500
Ru 0.7500 0.2500 0.2500
Ru 0.7500 0.7500 0.7500



Entry 3:
This record from the Alexandria database describes a geometry-optimized Ce2PuU2Ru5 structure. The functional is GGA-PBE.

Total DFT energy (no corrections) (eV/atom): -9.696
Space-group type: P4/mbm

a b c (Å): 10.5323 10.5323 3.6262
angles (deg): 90.00 90.00 90.00
Atoms (fractional coordinates):
Ce 0.1777 0.3223 0.0000
Ce 0.3223 0.8223 0.0000
Ce 0.6777 0.1777 0.0000
Ce 0.8223 0.6777 0.0000
Pu 0.0000 0.0000 0.0000
Pu 0.5000 0.5000 0.0000
U 0.1394 0.6394 0.0000
U 0.3606 0.1394 0.0000
U 0.6394 0.8606 0.0000
U 0.8606 0.3606 0.0000
Ru 0.0000 0.5000 0.5000
Ru 0.0517 0.7977 0.5000
Ru 0.2023 0.0517 0.5000
Ru 0.2977 0.5517 0.5000
Ru 0.4483 0.2977 0.5000
Ru 0.5000 0.0000 0.5000
Ru 0.5517 0.7023 0.5000
Ru 0.7023 0.4483 0.5000
Ru 0.7977 0.9483 0.5000
Ru 0.9483 0.2023 0.5000



Taking the records one at a time from the top gives Fermi-level density of states values of 9.4 10.1 22.5 states/eV/f.u..
Taking the records one at a time from the top gives calculated volume values of 95.7 359.2 402.3 Å³ per cell.